(1)
First-principles (PBE-GGA) data for an optimized crystal structure of CoRhW, as listed in the Alexandria database.

Its total magnetization is 1.6 μB/cell. The calculated total energy comes out at -9.189 eV per atom. For the formation energy, the calculation gives -0.052 eV per atom.

The space group is Imm2 (No. 44) and the conventional cell measures 2.721, 3.697 and 8.129 Å, with angles of 90.00, 90.00 and 90.00 degrees. The inequivalent atoms are Co at (0.000, 0.000, 0.000), Rh at (0.000, 0.000, 0.666) and W at (0.000, 0.000, 0.341).

(2)
First-principles (PBE-GGA) data for an optimized crystal structure of CoRhW2, as listed in the Alexandria database.

Its total magnetization is 4.6 μB/cell. The calculated total energy comes out at -9.696 eV per atom. For the formation energy, the calculation gives 0.395 eV per atom.

The space group is Fm-3m (No. 225) and the conventional cell measures 6.151, 6.151 and 6.151 Å, with angles of 90.00, 90.00 and 90.00 degrees. The inequivalent atoms are Co at (0.000, 0.000, 0.000), Rh at (0.000, 0.000, 0.500) and W at (0.250, 0.250, 0.250).

(3)
First-principles (PBE-GGA) data for an optimized crystal structure of CoRhW2, as listed in the Alexandria database.

Its total magnetization is 0.0 μB/cell. The calculated total energy comes out at -10.130 eV per atom. For the formation energy, the calculation gives -0.040 eV per atom.

The space group is I4/mmm (No. 139) and the conventional cell measures 3.829, 3.829 and 7.715 Å, with angles of 90.00, 90.00 and 90.00 degrees. The inequivalent atoms are Co at (0.000, 0.000, 0.000), Rh at (0.000, 0.000, 0.500) and W at (0.000, 0.500, 0.250).

(4)
First-principles (PBE-GGA) data for an optimized crystal structure of CoRhW2, as listed in the Alexandria database.

Its total magnetization is 0.0 μB/cell. The calculated total energy comes out at -10.128 eV per atom. For the formation energy, the calculation gives -0.037 eV per atom.

The space group is P2/m (No. 10) and the conventional cell measures 2.718, 3.841 and 5.427 Å, with angles of 90.00, 90.63 and 90.00 degrees. The inequivalent atoms are Co at (0.000, 0.000, 0.000), Rh at (0.000, 0.000, 0.500) and W at (0.494, 0.500, 0.242).

(5)
First-principles (PBE-GGA) data for an optimized crystal structure of CoRh4W, as listed in the Alexandria database.

Its total magnetization is 3.3 μB/cell. The calculated total energy comes out at -7.988 eV per atom. For the formation energy, the calculation gives 0.257 eV per atom.

The space group is P4/mmm (No. 123) and the conventional cell measures 4.109, 4.109 and 5.799 Å, with angles of 90.00, 90.00 and 90.00 degrees. The inequivalent atoms are Co at (0.000, 0.000, 0.000), Rh at (0.000, 0.500, 0.244) and W at (0.500, 0.500, 0.500).

(6)
First-principles (PBE-GGA) data for an optimized crystal structure of CoRhW2, as listed in the Alexandria database.

Its total magnetization is 0.0 μB/cell. The calculated total energy comes out at -10.110 eV per atom. For the formation energy, the calculation gives -0.019 eV per atom.

The space group is C2/m (No. 12) and the conventional cell measures 5.410, 7.707 and 2.722 Å, with angles of 90.00, 90.16 and 90.00 degrees. The inequivalent atoms are Co at (0.000, 0.000, 0.000), Rh at (0.000, 0.500, 0.000) and W at (0.250, 0.250, 0.500).

(7)
First-principles (PBE-GGA) data for an optimized crystal structure of CoRhW2, as listed in the Alexandria database.

Its total magnetization is 0.0 μB/cell. The calculated total energy comes out at -10.136 eV per atom. For the formation energy, the calculation gives -0.045 eV per atom.

The space group is P4/mmm (No. 123) and the conventional cell measures 2.720, 2.720 and 7.626 Å, with angles of 90.00, 90.00 and 90.00 degrees. The inequivalent atoms are Co at (0.000, 0.000, 0.000), Rh at (0.000, 0.000, 0.500) and W at (0.500, 0.500, 0.237).

(8)
First-principles (PBE-GGA) data for an optimized crystal structure of CoRhW2, as listed in the Alexandria database.

Its total magnetization is 0.1 μB/cell. The calculated total energy comes out at -9.891 eV per atom. For the formation energy, the calculation gives 0.200 eV per atom.

The space group is F-43m (No. 216) and the conventional cell measures 6.134, 6.134 and 6.134 Å, with angles of 90.00, 90.00 and 90.00 degrees. The inequivalent atoms are Co at (0.000, 0.000, 0.000), Rh at (0.250, 0.250, 0.750), W at (0.000, 0.000, 0.500) and W at (0.250, 0.250, 0.250).

Question: The highest calculated total energy belongs to which entry?
Answer: CoRh4W

Question: Among the records above, which one has the highest calculated total energy?
Answer: CoRh4W

Question: Number 1 is which compound?
Answer: CoRhW